! PaAl3, optimized geometry, DFT PBE-GGA; values from VASP
&SYSTEM
  ibrav = 0, nat = 4, ntyp = 2
/
ATOMIC_SPECIES
Al 26.98 Al.upf
Pa 231.04 Pa.upf
CELL_PARAMETERS angstrom
3.0319 3.0732 2.0589
-0.5677 1.2043 4.5938
3.1155 -1.5501 3.2813
ATOMIC_POSITIONS angstrom
Al 0.0000 0.0000 0.0000
Al 2.7898 1.3637 4.9670
Pa 4.1847 2.0456 7.4505
Al 1.3949 0.6819 2.4835
! * E above lowest polymorph: 288 meV per atom

=====

! PaAl3, optimized geometry, DFT PBE-GGA; values from VASP
&SYSTEM
  ibrav = 0, nat = 8, ntyp = 2
/
ATOMIC_SPECIES
Al 26.98 Al.upf
Pa 231.04 Pa.upf
CELL_PARAMETERS angstrom
-1.4584 5.6398 2.3697
0.0714 -5.0578 3.7366
4.4258 0.7522 0.9336
ATOMIC_POSITIONS angstrom
Al 0.1417 -0.1533 5.0819
Al 0.9509 -3.2823 3.7672
Pa 0.1580 2.2620 3.0587
Al 2.8971 1.4874 1.9579
Al 2.0880 4.6165 3.2727
Al 0.9112 -0.4761 1.6940
Pa 2.8809 -0.9278 3.9812
Al 2.1277 1.8103 5.3459
! * E above lowest polymorph: 0 meV per atom

=====

! PaAl3, optimized geometry, DFT PBE-GGA; values from VASP
&SYSTEM
  ibrav = 0, nat = 4, ntyp = 2
/
ATOMIC_SPECIES
Pa 231.04 Pa.upf
Al 26.98 Al.upf
CELL_PARAMETERS angstrom
-3.6370 -0.1060 2.2952
-0.7646 -3.9966 -1.3962
2.1667 -1.5883 3.3600
ATOMIC_POSITIONS angstrom
Pa 0.0000 0.0000 0.0000
Al -2.2008 -2.0513 0.4495
Al -0.7352 -0.8471 2.8276
Al 0.7010 -2.7924 0.9819
! * E above lowest polymorph: 16 meV per atom

=====

no.,total energy (eV per cell)
1,-20.64
2,-43.60
3,-21.73